## MnBiSe2I (GGA-PBEsol)

Data for crystalline MnBiSe2I at its relaxed geometry.

Results
Raw formation energy, eV/atom: -0.343

Cell lengths 13.166, 4.063, 9.849 Å; angles 90.00, 91.46, 90.00 degrees
Space group C2/m (No. 12)
Unique sites:
Mn1 0.000 0.000 0.000 x2
Mn2 0.000 0.000 0.500 x2
Bi1 0.215 0.500 0.305 x4
Se1 0.069 0.000 0.255 x4
Se2 0.135 0.500 0.559 x4
I1 0.138 0.500 0.931 x4